First-principles (PBE) data for crystalline LiSnSCl2 at its relaxed geometry, as listed in the Alexandria database.

Results
**DOS at the Fermi energy**: 0.489 states/eV per atom
**Calculated total energy**: -3.3292 eV per atom
**ΔE to the lowest computed polymorph**: 116 meV/atom
**ΔE_f (raw)**: -0.5817 eV/atom
**Crystal system**: tetragonal

Cell lengths 4.6033, 4.6033, 5.0152 Å; angles 90.00, 90.00, 90.00 degrees
Last column: nearest neighbours and their distance in Å.
Sites, in units of the cell vectors:
Cl1 0.5000 0.0000 0.0000  2 Li 2.30
Cl2 0.0000 0.5000 0.0000  2 Li 2.30
S1 0.0000 0.0000 0.5000  2 Li 2.51
Sn1 0.5000 0.5000 0.5000  4 S 3.26, 8 Cl 3.40
Li1 0.0000 0.0000 0.0000  4 Cl 2.30, 2 S 2.51